Record 1
A plane-wave DFT calculation with PBE was carried out for a relaxed structure of Pm6Sm5Y.

Structure (POSCAR):
```
Pm6Sm5Y
1.0
6.1228 0.0000 1.4941
3.0614 5.4552 0.7471
-0.7746 0.0000 12.0311
Y Sm Pm
1 5 6
Cartesian
0.0000 0.0000 0.0000
2.6741 3.6386 6.7626
3.0614 1.8198 0.7471
2.6741 0.0000 6.7626
6.1228 3.6354 1.4941
5.7355 1.8166 7.5097
4.3994 1.8193 4.1221
0.9488 1.8193 9.4031
4.0089 0.0000 10.1464
1.3392 0.0000 3.3789
7.4608 3.6359 4.8692
4.0102 3.6359 10.1502
```

For the total DFT energy (no corrections), the calculation gives -4.8681 eV per atom. As for the energy relative to the elements: 0.0122 eV per atom. The value obtained for the size of the total moment is 0.00 μB per atom. Its space group is C2/m (12).

=====

Record 2
A plane-wave DFT calculation with PBE was carried out for a relaxed structure of Pm2SmY.

Structure (POSCAR):
```
Pm2SmY
1.0
5.1188 0.0000 0.0000
0.0000 5.1303 0.0000
0.0000 0.0000 5.1303
Y Sm Pm
1 1 2
Cartesian
2.5594 2.5652 2.5652
2.5594 0.0000 0.0000
0.0000 0.0000 2.5652
0.0000 2.5652 0.0000
```

For the total DFT energy (no corrections), the calculation gives -5.1549 eV per atom. For the excess energy over the best structure of this formula in the dataset, the calculation gives 6 meV per atom. As for the energy relative to the elements: 0.0162 eV per atom. The value obtained for the size of the total moment is 0.00 μB per atom. Its space group is P4/mmm (123).